A plane-wave DFT calculation with PBE-GGA was carried out for a relaxed structure of AsS.

Properties
Uncorrected formation energy: 0.164 eV/atom
Total moment: 0.00 μB/cell
SG: Cmc2_1 (36)
Total energy: -4.22 eV/atom
V: 278.8 Å³/cell

abc: 7.727 7.727 6.862
angles: 90.00 90.00 137.12
Element x y z (fractional)
As (0.896, 0.896, 0.609)
As (0.104, 0.104, 0.109)
As (0.688, 0.412, 0.976)
As (0.412, 0.688, 0.976)
As (0.312, 0.588, 0.476)
As (0.588, 0.312, 0.476)
S (0.600, 0.600, 0.153)
S (0.400, 0.400, 0.653)
S (0.971, 0.234, 0.317)
S (0.234, 0.971, 0.317)
S (0.029, 0.766, 0.817)
S (0.766, 0.029, 0.817)


A plane-wave DFT calculation with PBE-GGA was carried out for a relaxed structure of AsS.

Properties
Uncorrected formation energy: 0.278 eV/atom
Total moment: 0.00 μB/cell
SG: I4/m (87)
Total energy: -4.11 eV/atom
V: 447.0 Å³/cell

abc: 11.662 11.662 3.287
angles: 90.00 90.00 90.00
Element x y z (fractional)
As (0.431, 0.238, 0.000)
As (0.569, 0.762, 0.000)
As (0.762, 0.431, 0.000)
As (0.238, 0.569, 0.000)
As (0.931, 0.738, 0.500)
As (0.069, 0.262, 0.500)
As (0.262, 0.931, 0.500)
As (0.738, 0.069, 0.500)
S (0.384, 0.832, 0.000)
S (0.616, 0.168, 0.000)
S (0.168, 0.384, 0.000)
S (0.832, 0.616, 0.000)
S (0.884, 0.332, 0.500)
S (0.116, 0.668, 0.500)
S (0.668, 0.884, 0.500)
S (0.332, 0.116, 0.500)


Which value of uncorrected formation energy does entry 1 give?
0.164 eV/atom